(1)
Be2OsBr | GGA-PBE | optimized geometry

Calculated values
V = 13.77 Å³ per atom
relative energy among the computed polymorphs = 0 meV/atom

POSCAR file:
```
Be2OsBr
1.0
3.0468 0.0000 0.0000
0.0000 3.1011 0.0076
0.0000 1.7915 5.8340
Be Os Br
2 1 1
Cartesian
0.0000 2.1363 5.4070 Be
0.0000 2.1016 3.3479 Be
1.5234 3.6695 4.3812 Os
1.5234 1.2232 1.4604 Br
```

(2)
Be2OsBr | GGA-PBE | optimized geometry

Calculated values
V = 13.85 Å³ per atom
relative energy among the computed polymorphs = 22 meV/atom

POSCAR file:
```
Be2OsBr
1.0
-1.2128 0.6588 2.7327
0.8359 -2.7566 1.0356
5.1818 2.2331 1.7614
Be Os Br
2 1 1
Cartesian
4.7852 2.0622 1.6266 Be
2.9876 1.2875 1.0155 Be
3.6979 0.6260 3.2052 Os
1.1070 -0.4906 2.3245 Br
```

(3)
Be2OsBr | GGA-PBE | optimized geometry

Calculated values
V = 12.98 Å³ per atom
relative energy among the computed polymorphs = 867 meV/atom

POSCAR file:
```
Be2OsBr
1.0
-3.8455 -1.2455 1.0921
-3.1659 0.3542 -2.7172
-1.6622 -3.4284 -1.7362
Be Os Br
2 1 1
Cartesian
-2.1684 -1.0799 -0.8403 Be
-6.5052 -3.2398 -2.5210 Be
-4.3368 -2.1599 -1.6807 Os
0.0000 0.0000 0.0000 Br
```

(4)
Be2OsBr | GGA-PBE | optimized geometry

Calculated values
V = 13.04 Å³ per atom
relative energy among the computed polymorphs = 762 meV/atom

POSCAR file:
```
Be2OsBr
1.0
4.5956 0.0121 0.0000
1.5728 4.3182 0.0000
-3.0842 -2.1651 2.6306
Be Os Br
2 1 1
Cartesian
0.0000 0.0000 0.0000 Be
3.0842 2.1651 0.0000 Be
2.2978 0.0061 1.3153 Os
0.7864 2.1591 1.3153 Br
```

Which of these has the highest V? number 2